No. 1
# BaBe2Ag GGA-PBE optimized geometry
data_BaBe2Ag
_chemical_formula_sum 'Ba1 Be2 Ag1'
_cell_length_a 4.539
_cell_length_b 4.539
_cell_length_c 4.721
_cell_angle_alpha 90.00
_cell_angle_beta 90.00
_cell_angle_gamma 90.00
_symmetry_space_group_name_H-M 'P 1'
_symmetry_Int_Tables_number 1
loop_
_symmetry_equiv_pos_as_xyz
'x,y,z'
loop_
_atom_site_label
_atom_site_fract_x
_atom_site_fract_y
_atom_site_fract_z
_atom_site_occupancy
Ba1 0.000 0.000 0.000 1
Be1 0.000 0.500 0.500 1
Be2 0.500 0.000 0.500 1
Ag1 0.500 0.500 0.000 1
# E_form	0.937	eV/atom
# calculated total energy	-2.12	eV/atom
# energy relative to the lowest polymorph listed for this composition	0.790	eV per atom
# DOS(E_F)	2.95	states/eV/cell

---

No. 2
# BaBeAg2 GGA-PBE optimized geometry
data_BaBeAg2
_chemical_formula_sum 'Ba1 Be1 Ag2'
_cell_length_a 3.326
_cell_length_b 3.326
_cell_length_c 7.799
_cell_angle_alpha 90.00
_cell_angle_beta 90.00
_cell_angle_gamma 90.00
_symmetry_space_group_name_H-M 'P 1'
_symmetry_Int_Tables_number 1
loop_
_symmetry_equiv_pos_as_xyz
'x,y,z'
loop_
_atom_site_label
_atom_site_fract_x
_atom_site_fract_y
_atom_site_fract_z
_atom_site_occupancy
Ba1 0.000 0.000 0.000 1
Be1 0.000 0.000 0.500 1
Ag1 0.500 0.500 0.328 1
Ag2 0.500 0.500 0.672 1
# E_form	0.260	eV/atom
# calculated total energy	-2.58	eV/atom
# DOS(E_F)	2.55	states/eV/cell